No. 1
Here is a relaxed structure of KNpCl2F8 from Alexandria via LeMat-Bulk. Energies are from PBE.

a = 6.5579 Å, b = 6.5579 Å, c = 7.2205 Å
α = 90.00°, β = 90.00°, γ = 120.00°
Element x y z (fractional)
F: 0.8581 0.7163 0.8172
F: 0.6667 0.3333 0.3702
F: 0.3333 0.6667 0.6298
F: 0.2837 0.1419 0.8172
F: 0.7163 0.8581 0.1828
F: 0.8581 0.1419 0.8172
F: 0.1419 0.8581 0.1828
F: 0.1419 0.2837 0.1828
K: 0.0000 0.0000 0.5000
Cl: 0.6667 0.3333 0.1405
Cl: 0.3333 0.6667 0.8595
Np: 0.0000 0.0000 0.0000

* crystal system: trigonal
* symmetry: P-3m1 (164)
* DOS(E_F): 9.9 states/eV per cell
* formation energy from raw total energies: -2.208 eV per atom
* uncorrected energy: -59.19 eV for the cell shown
* V: 22.4 Å³ per atom

***

No. 2
Here is a relaxed structure of K7ClO2F2 from Alexandria via LeMat-Bulk. Energies are from PBE.

a = 5.2286 Å, b = 5.2286 Å, c = 12.9409 Å
α = 77.37°, β = 77.37°, γ = 88.32°
Element x y z (fractional)
F: 0.2941 0.2941 0.6241
F: 0.7059 0.7059 0.3759
Cl: 0.0000 0.0000 0.0000
K: 0.3403 0.3403 0.4174
K: 0.0922 0.5472 0.7896
K: 0.5000 0.5000 0.0000
K: 0.5472 0.0922 0.7896
K: 0.4528 0.9078 0.2104
K: 0.9078 0.4528 0.2104
K: 0.6597 0.6597 0.5826
O: 0.3969 0.3969 0.2134
O: 0.6031 0.6031 0.7866

* crystal system: monoclinic
* symmetry: C2/m (12)
* formation energy from raw total energies: -1.667 eV per atom
* uncorrected energy: -43.20 eV for the cell shown
* V: 28.1 Å³ per atom

***

No. 3
Here is a relaxed structure of K5Cl2OF from Alexandria via LeMat-Bulk. Energies are from PBE.

a = 4.9795 Å, b = 7.1783 Å, c = 8.7659 Å
α = 114.17°, β = 106.50°, γ = 90.00°
Element x y z (fractional)
Cl: 0.7916 0.7916 0.5832
Cl: 0.2084 0.2084 0.4168
K: 0.6218 0.3700 0.2437
K: 0.0000 0.0000 0.0000
K: 0.3782 0.6300 0.7563
K: 0.3782 0.1263 0.7563
K: 0.6218 0.8737 0.2437
O: 0.5000 0.0000 0.0000
F: 0.0000 0.5000 0.0000

* crystal system: orthorhombic
* symmetry: Immm (71)
* formation energy from raw total energies: -1.692 eV per atom
* uncorrected energy: -31.24 eV for the cell shown
* V: 30.2 Å³ per atom

***

No. 4
Here is a relaxed structure of K6Cl3OF2 from Alexandria via LeMat-Bulk. Energies are from PBE.

a = 7.2703 Å, b = 7.2703 Å, c = 7.2483 Å
α = 99.62°, β = 99.62°, γ = 119.98°
Element x y z (fractional)
K: 0.2698 0.2698 0.7873
K: 0.5877 0.9285 0.7854
K: 0.7302 0.7302 0.2127
K: 0.4123 0.0715 0.2146
K: 0.0715 0.4123 0.2146
K: 0.9285 0.5877 0.7854
Cl: 0.5000 0.5000 0.5000
Cl: 0.8364 0.1636 0.5000
Cl: 0.1636 0.8364 0.5000
O: 0.0000 0.0000 0.0000
F: 0.3328 0.6672 0.0000
F: 0.6672 0.3328 0.0000

* crystal system: monoclinic
* symmetry: C2/m (12)
* formation energy from raw total energies: -1.963 eV per atom
* uncorrected energy: -44.38 eV for the cell shown
* V: 26.1 Å³ per atom

***

No. 5
Here is a relaxed structure of K12ClO3F4 from Alexandria via LeMat-Bulk. Energies are from PBE.

a = 8.7295 Å, b = 8.7295 Å, c = 8.7295 Å
α = 109.47°, β = 109.47°, γ = 109.47°
Element x y z (fractional)
K: 0.3200 0.1799 0.4999
K: 0.8201 0.5001 0.6800
K: 0.1798 0.8599 0.6801
K: 0.8599 0.6801 0.1798
K: 0.6800 0.8201 0.5001
K: 0.1401 0.3199 0.8202
K: 0.5001 0.6800 0.8201
K: 0.8202 0.1401 0.3199
K: 0.3199 0.8202 0.1401
K: 0.6801 0.1798 0.8599
K: 0.4999 0.3200 0.1799
K: 0.1799 0.4999 0.3200
O: 0.0000 0.5000 0.5000
O: 0.5000 0.5000 0.0000
O: 0.5000 0.0000 0.5000
F: 0.5000 0.0000 0.0000
F: 0.0000 0.5000 0.0000
F: 0.5000 0.5000 0.5000
F: 0.0000 0.0000 0.5000
Cl: 0.0000 0.0000 0.0000

* crystal system: cubic
* symmetry: Im-3 (204)
* DOS(E_F): 2.7 states/eV per cell
* formation energy from raw total energies: -1.656 eV per atom
* uncorrected energy: -70.49 eV for the cell shown
* V: 25.6 Å³ per atom

***

No. 6
Here is a relaxed structure of K2OsCl2F4 from Alexandria via LeMat-Bulk. Energies are from PBE.

a = 6.3713 Å, b = 6.3713 Å, c = 6.3713 Å
α = 93.27°, β = 118.13°, γ = 118.13°
Element x y z (fractional)
K: 0.5000 0.2500 0.7500
K: 0.5000 0.7500 0.2500
Cl: 0.0000 0.2679 0.2679
Cl: 0.0000 0.7321 0.7321
F: 0.0000 0.2127 0.7873
F: 0.0000 0.7873 0.2127
F: 0.5745 0.7873 0.7873
F: 0.4255 0.2127 0.2127
Os: 0.0000 0.0000 0.0000

* crystal system: tetragonal
* symmetry: I4/mmm (139)
* DOS(E_F): 5.6 states/eV per cell
* formation energy from raw total energies: -1.876 eV per atom
* uncorrected energy: -41.48 eV for the cell shown
* V: 20.9 Å³ per atom

***

No. 7
Here is a relaxed structure of K3OsCl2F6 from Alexandria via LeMat-Bulk. Energies are from PBE.

a = 4.7042 Å, b = 7.6827 Å, c = 8.6358 Å
α = 116.41°, β = 88.63°, γ = 90.00°
Element x y z (fractional)
Os: 0.5000 0.0000 0.0000
F: 0.7315 0.2278 0.0921
F: 0.7315 0.8643 0.0921
F: 0.2685 0.1357 0.9079
F: 0.7020 0.8907 0.7814
F: 0.2685 0.7722 0.9079
F: 0.2980 0.1093 0.2186
K: 0.0000 0.5000 0.0000
K: 0.5000 0.5000 0.5000
K: 0.5000 0.0000 0.5000
Cl: 0.0234 0.6936 0.3873
Cl: 0.9766 0.3064 0.6127

* crystal system: monoclinic
* symmetry: C2/m (12)
* formation energy from raw total energies: -2.054 eV per atom
* uncorrected energy: -54.09 eV for the cell shown
* V: 23.3 Å³ per atom

***

No. 8
Here is a relaxed structure of K3OsCl6F2 from Alexandria via LeMat-Bulk. Energies are from PBE.

a = 6.3722 Å, b = 8.2082 Å, c = 9.2547 Å
α = 116.32°, β = 114.13°, γ = 90.00°
Element x y z (fractional)
Cl: 0.7167 0.9192 0.8384
Cl: 0.2539 0.1054 0.8095
Cl: 0.2539 0.7042 0.8095
Cl: 0.2833 0.0808 0.1616
Cl: 0.7461 0.8946 0.1905
Cl: 0.7461 0.2958 0.1905
K: 0.5000 0.0000 0.5000
K: 0.0000 0.5000 0.0000
K: 0.5000 0.5000 0.5000
Os: 0.5000 0.0000 0.0000
F: 0.3116 0.6608 0.3215
F: 0.6884 0.3392 0.6785

* crystal system: monoclinic
* symmetry: C2/m (12)
* formation energy from raw total energies: -1.416 eV per atom
* uncorrected energy: -46.33 eV for the cell shown
* V: 32.2 Å³ per atom

***

No. 9
Here is a relaxed structure of K2PClF6 from Alexandria via LeMat-Bulk. Energies are from PBE.

a = 7.7044 Å, b = 7.7201 Å, c = 7.6976 Å
α = 42.47°, β = 38.69°, γ = 42.58°
Element x y z (fractional)
F: 0.9887 0.5556 0.1734
F: 0.1916 0.0771 0.3800
F: 0.6436 0.0767 0.9297
F: 0.4224 0.3300 0.1612
F: 0.4407 0.5552 0.7230
F: 0.2099 0.3023 0.9418
K: 0.1039 0.0447 0.8399
K: 0.5284 0.5877 0.2631
Cl: 0.8162 0.8162 0.5515
P: 0.3162 0.3161 0.0515

* crystal system: triclinic
* symmetry: P-1 (2)
* DOS(E_F): 0.0 states/eV per cell
* formation energy from raw total energies: -2.574 eV per atom
* uncorrected energy: -46.42 eV for the cell shown
* V: 17.9 Å³ per atom

***

No. 10
Here is a relaxed structure of K2PdCl4F2 from Alexandria via LeMat-Bulk. Energies are from PBE.

a = 6.7596 Å, b = 6.7596 Å, c = 6.7596 Å
α = 90.73°, β = 119.58°, γ = 119.58°
Element x y z (fractional)
Pd: 0.0000 0.0000 0.0000
K: 0.5000 0.2500 0.7500
K: 0.5000 0.7500 0.2500
Cl: 0.0000 0.7573 0.2427
Cl: 0.0000 0.2427 0.7573
Cl: 0.4854 0.2427 0.2427
Cl: 0.5146 0.7573 0.7573
F: 0.0000 0.7918 0.7918
F: 0.0000 0.2082 0.2082

* crystal system: tetragonal
* symmetry: I4/mmm (139)
* formation energy from raw total energies: -1.439 eV per atom
* uncorrected energy: -31.47 eV for the cell shown
* V: 24.4 Å³ per atom

***

No. 11
Here is a relaxed structure of KPdClF2 from Alexandria via LeMat-Bulk. Energies are from PBE.

a = 3.7227 Å, b = 7.1113 Å, c = 7.2460 Å
α = 90.00°, β = 90.00°, γ = 105.17°
Element x y z (fractional)
Cl: 0.4878 0.9757 0.7500
Cl: 0.5122 0.0243 0.2500
F: 0.1473 0.2946 0.5256
F: 0.8527 0.7054 0.4744
F: 0.8527 0.7054 0.0256
F: 0.1473 0.2946 0.9744
K: 0.7259 0.4517 0.7500
K: 0.2741 0.5483 0.2500
Pd: 0.0000 0.0000 0.5000
Pd: 0.0000 0.0000 0.0000

* crystal system: orthorhombic
* ΔE to the lowest computed polymorph: 0 meV/atom
* symmetry: Cmcm (63)
* DOS(E_F): 2.2 states/eV per cell
* formation energy from raw total energies: -1.618 eV per atom
* uncorrected energy: -39.94 eV for the cell shown
* V: 18.5 Å³ per atom

***

No. 12
Here is a relaxed structure of KPdClF2 from Alexandria via LeMat-Bulk. Energies are from PBE.

a = 4.3752 Å, b = 4.3752 Å, c = 4.8783 Å
α = 90.00°, β = 90.00°, γ = 90.00°
Element x y z (fractional)
Pd: 0.0000 0.0000 0.0000
Cl: 0.0000 0.0000 0.5000
K: 0.5000 0.5000 0.5000
F: 0.5000 0.0000 0.0000
F: 0.0000 0.5000 0.0000

* crystal system: tetragonal
* ΔE to the lowest computed polymorph: 66 meV/atom
* symmetry: P4/mmm (123)
* DOS(E_F): 1.7 states/eV per cell
* formation energy from raw total energies: -1.552 eV per atom
* uncorrected energy: -19.64 eV for the cell shown
* V: 18.7 Å³ per atom

***

No. 13
Here is a relaxed structure of K2PdCl2F4 from Alexandria via LeMat-Bulk. Energies are from PBE.

a = 6.2536 Å, b = 6.2536 Å, c = 6.2536 Å
α = 96.22°, β = 116.48°, γ = 116.48°
Element x y z (fractional)
F: 0.0000 0.2111 0.7889
F: 0.0000 0.7889 0.2111
F: 0.4222 0.2111 0.2111
F: 0.5778 0.7889 0.7889
Cl: 0.0000 0.2779 0.2779
Cl: 0.0000 0.7221 0.7221
Pd: 0.0000 0.0000 0.0000
K: 0.5000 0.2500 0.7500
K: 0.5000 0.7500 0.2500

* crystal system: tetragonal
* symmetry: I4/mmm (139)
* formation energy from raw total energies: -1.762 eV per atom
* uncorrected energy: -34.42 eV for the cell shown
* V: 20.1 Å³ per atom

***

No. 14
Here is a relaxed structure of KPm2Cl2F5 from Alexandria via LeMat-Bulk. Energies are from PBE.

a = 3.5687 Å, b = 9.9428 Å, c = 9.9428 Å
α = 90.00°, β = 90.00°, γ = 90.00°
Element x y z (fractional)
F: 0.5000 0.0000 0.5000
F: 0.5000 0.5000 0.0000
F: 0.5000 0.2257 0.0786
F: 0.5000 0.7257 0.4214
F: 0.5000 0.2743 0.5786
F: 0.5000 0.4214 0.2743
F: 0.5000 0.9214 0.2257
F: 0.5000 0.5786 0.7257
F: 0.5000 0.7743 0.9214
F: 0.5000 0.0786 0.7743
Cl: 0.0000 0.6647 0.1647
Cl: 0.0000 0.3353 0.8353
Cl: 0.0000 0.1647 0.3353
Cl: 0.0000 0.8353 0.6647
Pm: 0.0000 0.6310 0.8690
Pm: 0.0000 0.3690 0.1310
Pm: 0.0000 0.1310 0.6310
Pm: 0.0000 0.8690 0.3690
K: 0.0000 0.0000 0.0000
K: 0.0000 0.5000 0.5000

* crystal system: tetragonal
* symmetry: P4/mbm (127)
* DOS(E_F): 0.0 states/eV per cell
* formation energy from raw total energies: -3.267 eV per atom
* uncorrected energy: -112.64 eV for the cell shown
* V: 17.6 Å³ per atom

***

No. 15
Here is a relaxed structure of K3PtCl6F2 from Alexandria via LeMat-Bulk. Energies are from PBE.

a = 6.0090 Å, b = 8.2823 Å, c = 9.0681 Å
α = 117.17°, β = 111.00°, γ = 90.00°
Element x y z (fractional)
F: 0.6913 0.3380 0.6759
F: 0.3087 0.6620 0.3241
Cl: 0.7475 0.8933 0.1903
Cl: 0.2616 0.0831 0.1661
Cl: 0.2525 0.7030 0.8097
Cl: 0.7475 0.2970 0.1903
Cl: 0.7384 0.9169 0.8339
Cl: 0.2525 0.1067 0.8097
Pt: 0.5000 0.0000 0.0000
K: 0.5000 0.5000 0.5000
K: 0.5000 0.0000 0.5000
K: 0.0000 0.5000 0.0000

* crystal system: monoclinic
* symmetry: C2/m (12)
* DOS(E_F): 20.8 states/eV per cell
* formation energy from raw total energies: -1.344 eV per atom
* uncorrected energy: -40.28 eV for the cell shown
* V: 30.6 Å³ per atom

***

No. 16
Here is a relaxed structure of KPuClF2 from Alexandria via LeMat-Bulk. Energies are from PBE.

a = 4.2310 Å, b = 4.2477 Å, c = 6.8722 Å
α = 89.99°, β = 90.00°, γ = 90.00°
Element x y z (fractional)
F: 0.5000 0.0000 0.9107
F: 0.0000 0.5000 0.9137
Cl: 0.0000 0.0000 0.4661
Pu: 0.0000 0.0000 0.0663
K: 0.5000 0.5000 0.6432

* crystal system: orthorhombic
* symmetry: Pmm2 (25)
* DOS(E_F): 14.9 states/eV per cell
* formation energy from raw total energies: -2.612 eV per atom
* uncorrected energy: -34.08 eV for the cell shown
* V: 24.7 Å³ per atom

***

No. 17
Here is a relaxed structure of K2RbClF from Alexandria via LeMat-Bulk. Energies are from PBE.

a = 5.2296 Å, b = 5.2296 Å, c = 6.6307 Å
α = 90.00°, β = 90.00°, γ = 90.00°
Element x y z (fractional)
K: 0.5000 0.0000 0.0000
K: 0.0000 0.5000 0.0000
Rb: 0.0000 0.0000 0.5000
F: 0.0000 0.0000 0.0000
Cl: 0.5000 0.5000 0.5000

* crystal system: tetragonal
* symmetry: P4/mmm (123)
* DOS(E_F): 0.9 states/eV per cell
* formation energy from raw total energies: -1.623 eV per atom
* uncorrected energy: -15.00 eV for the cell shown
* V: 36.3 Å³ per atom

***

No. 18
Here is a relaxed structure of KRb2ClF2 from Alexandria via LeMat-Bulk. Energies are from PBE.

a = 4.8793 Å, b = 4.8793 Å, c = 7.1378 Å
α = 90.00°, β = 90.00°, γ = 90.00°
Element x y z (fractional)
Rb: 0.5000 0.5000 0.2410
Rb: 0.5000 0.5000 0.7590
F: 0.0000 0.5000 0.0000
F: 0.5000 0.0000 0.0000
Cl: 0.0000 0.0000 0.5000
K: 0.0000 0.0000 0.0000

* crystal system: tetragonal
* symmetry: P4/mmm (123)
* DOS(E_F): 0.0 states/eV per cell
* formation energy from raw total energies: -2.331 eV per atom
* uncorrected energy: -22.61 eV for the cell shown
* V: 28.3 Å³ per atom

***

No. 19
Here is a relaxed structure of KRb2ClF6 from Alexandria via LeMat-Bulk. Energies are from PBE.

a = 6.1179 Å, b = 6.1179 Å, c = 7.0873 Å
α = 64.43°, β = 64.43°, γ = 90.00°
Element x y z (fractional)
Rb: 0.7500 0.2500 0.5000
Rb: 0.2500 0.7500 0.5000
Cl: 0.5000 0.5000 0.0000
K: 0.0000 0.0000 0.0000
F: 0.2898 0.7102 0.0000
F: 0.7102 0.2898 0.0000
F: 0.2249 0.2249 0.5502
F: 0.2898 0.2898 0.0000
F: 0.7751 0.7751 0.4498
F: 0.7102 0.7102 0.0000

* crystal system: tetragonal
* symmetry: I4/mmm (139)
* DOS(E_F): 0.0 states/eV per cell
* formation energy from raw total energies: -1.894 eV per atom
* uncorrected energy: -35.05 eV for the cell shown
* V: 21.0 Å³ per atom

***

No. 20
Here is a relaxed structure of KRb2Cl6F from Alexandria via LeMat-Bulk. Energies are from PBE.

a = 8.3975 Å, b = 8.3975 Å, c = 7.4789 Å
α = 55.85°, β = 55.85°, γ = 90.00°
Element x y z (fractional)
Cl: 0.7539 0.7539 0.0000
Cl: 0.7539 0.2461 0.0000
Cl: 0.2461 0.7539 0.0000
Cl: 0.2461 0.2461 0.0000
Cl: 0.2894 0.2894 0.4211
Cl: 0.7106 0.7106 0.5789
Rb: 0.7500 0.2500 0.5000
Rb: 0.2500 0.7500 0.5000
K: 0.0000 0.0000 0.0000
F: 0.5000 0.5000 0.0000

* crystal system: tetragonal
* symmetry: I4/mmm (139)
* DOS(E_F): 13.7 states/eV per cell
* formation energy from raw total energies: -0.832 eV per atom
* uncorrected energy: -24.30 eV for the cell shown
* V: 32.1 Å³ per atom